Entry 1:
Compound: PmNdYTh
Source: the Alexandria database
Functional: PBE-GGA
Structure: relaxed

Unit cell a=3.626 b=3.626 c=11.995 alpha=98.73 beta=98.73 gamma=59.93
Fractional coordinates of all 4 atoms:
Pm1 0.000 0.000 0.000
Nd1 0.834 0.834 0.500
Y1 0.416 0.416 0.250
Th1 0.251 0.251 0.754

Properties
ΔH_f (0 K) = 0.176 eV/f.u.
Space group = Cm

=====

Entry 2:
Compound: Pm2Nd6YTh
Source: the Alexandria database
Functional: PBE-GGA
Structure: relaxed

Unit cell a=8.907 b=8.907 c=10.004 alpha=94.94 beta=94.94 gamma=117.33
Fractional coordinates of all 20 atoms:
Pm1 0.195 0.287 0.045
Pm2 0.287 0.195 0.545
Pm3 0.713 0.805 0.455
Pm4 0.805 0.713 0.955
Nd1 0.015 0.577 0.187
Nd2 0.111 0.749 0.555
Nd3 0.251 0.889 0.945
Nd4 0.298 0.506 0.379
Nd5 0.423 0.985 0.313
Nd6 0.494 0.702 0.121
Nd7 0.506 0.298 0.879
Nd8 0.577 0.015 0.687
Nd9 0.702 0.494 0.621
Nd10 0.749 0.111 0.055
Nd11 0.889 0.251 0.445
Nd12 0.985 0.423 0.813
Y1 0.407 0.593 0.750
Y2 0.593 0.407 0.250
Th1 0.020 0.980 0.250
Th2 0.980 0.020 0.750

Properties
ΔH_f (0 K) = 1.404 eV/f.u.
Space group = C2/c

=====

Entry 3:
Compound: PmNdYTh
Source: the Alexandria database
Functional: PBE-GGA
Structure: relaxed

Unit cell a=5.753 b=5.753 c=5.753 alpha=60.00 beta=60.00 gamma=60.00
Fractional coordinates of all 4 atoms:
Pm1 0.000 0.000 0.000
Nd1 0.500 0.500 0.500
Y1 0.750 0.750 0.750
Th1 0.250 0.250 0.250

Properties
ΔH_f (0 K) = 0.809 eV/f.u.
Space group = F-43m

=====

Entry 4:
Compound: Pm3NdY6Th2
Source: the Alexandria database
Functional: PBE-GGA
Structure: relaxed

Unit cell a=6.257 b=6.257 c=11.828 alpha=95.08 beta=95.08 gamma=119.98
Fractional coordinates of all 12 atoms:
Pm1 0.000 0.000 0.000
Pm2 0.334 0.666 0.000
Pm3 0.666 0.334 0.000
Nd1 0.500 0.500 0.500
Y1 0.079 0.417 0.254
Y2 0.244 0.244 0.746
Y3 0.417 0.079 0.254
Y4 0.583 0.921 0.746
Y5 0.756 0.756 0.254
Y6 0.921 0.583 0.746
Th1 0.167 0.833 0.500
Th2 0.833 0.167 0.500

Properties
ΔH_f (0 K) = 0.289 eV/f.u.
Space group = C2/m

=====

ΔH_f (0 K) of number 2 (Pm2Nd6YTh)? 1.404 eV/f.u.

=====

Repeat the second record exactly.
Compound: Pm2Nd6YTh
Source: the Alexandria database
Functional: PBE-GGA
Structure: relaxed

Unit cell a=8.907 b=8.907 c=10.004 alpha=94.94 beta=94.94 gamma=117.33
Fractional coordinates of all 20 atoms:
Pm1 0.195 0.287 0.045
Pm2 0.287 0.195 0.545
Pm3 0.713 0.805 0.455
Pm4 0.805 0.713 0.955
Nd1 0.015 0.577 0.187
Nd2 0.111 0.749 0.555
Nd3 0.251 0.889 0.945
Nd4 0.298 0.506 0.379
Nd5 0.423 0.985 0.313
Nd6 0.494 0.702 0.121
Nd7 0.506 0.298 0.879
Nd8 0.577 0.015 0.687
Nd9 0.702 0.494 0.621
Nd10 0.749 0.111 0.055
Nd11 0.889 0.251 0.445
Nd12 0.985 0.423 0.813
Y1 0.407 0.593 0.750
Y2 0.593 0.407 0.250
Th1 0.020 0.980 0.250
Th2 0.980 0.020 0.750

Properties
ΔH_f (0 K) = 1.404 eV/f.u.
Space group = C2/c

=====

What is the ΔH_f (0 K) in the third record? 0.809 eV/f.u.

=====

Which formula does entry 4 have? Pm3NdY6Th2